## Ni2RuPt (PBE)

Data for crystalline Ni2RuPt at its relaxed geometry.

POSCAR file:
```
Ni2RuPt
1.0
2.670 0.000 0.000
0.000 3.580 0.000
0.000 0.000 5.404
Ni Ru Pt
2 1 1
direct
0.000 0.000 0.237
0.000 0.000 0.763
0.500 0.500 0.000
0.500 0.500 0.500
```

Calculated values
crystal system: orthorhombic
calculated volume: 51.6 Å³ per cell
DFT formation energy: 0.029 eV per atom
space group: Pmmm
E_tot: -6.69 eV/atom

=====

## Ni5RuPt6 (PBE)

Data for crystalline Ni5RuPt6 at its relaxed geometry.

POSCAR file:
```
Ni5RuPt6
1.0
-1.921 3.705 5.770
1.921 -3.705 5.770
1.921 3.705 -5.770
Ni Ru Pt
5 1 6
direct
0.000 0.000 0.000
0.168 0.668 0.500
0.337 0.337 0.000
0.663 0.663 0.000
0.832 0.332 0.500
0.500 0.000 0.500
0.079 0.832 0.247
0.244 0.500 0.744
0.415 0.168 0.247
0.585 0.832 0.753
0.756 0.500 0.256
0.921 0.168 0.753
```

Calculated values
crystal system: orthorhombic
calculated volume: 164.2 Å³ per cell
DFT formation energy: -0.064 eV per atom
space group: Immm
E_tot: -6.27 eV/atom

=====

## Ni2RuPt (PBE)

Data for crystalline Ni2RuPt at its relaxed geometry.

POSCAR file:
```
Ni2RuPt
1.0
8.770 0.000 0.000
0.000 2.681 0.000
-0.836 0.000 4.398
Ni Ru Pt
4 2 2
direct
0.000 0.000 0.000
0.247 0.500 0.241
0.500 0.500 0.000
0.747 0.000 0.241
0.493 0.000 0.482
0.993 0.500 0.482
0.247 0.000 0.743
0.747 0.500 0.743
```

Calculated values
crystal system: monoclinic
calculated volume: 103.4 Å³ per cell
DFT formation energy: 0.037 eV per atom
space group: Cm
E_tot: -6.68 eV/atom

=====

## NiRu3Pt (PBE)

Data for crystalline NiRu3Pt at its relaxed geometry.

POSCAR file:
```
NiRu3Pt
1.0
4.762 0.000 0.000
0.000 4.762 0.000
0.000 0.000 4.762
Ni Ru Pt
1 3 1
direct
0.000 0.000 0.000
0.000 0.500 0.500
0.500 0.000 0.500
0.500 0.500 0.000
0.500 0.500 0.500
```

Calculated values
crystal system: cubic
calculated volume: 108.0 Å³ per cell
DFT formation energy: 2.174 eV per atom
space group: Pm-3m
E_tot: -5.76 eV/atom

=====

## Ni2RuPt4 (PBE)

Data for crystalline Ni2RuPt4 at its relaxed geometry.

POSCAR file:
```
Ni2RuPt4
1.0
-3.754 3.754 3.757
3.754 -3.754 3.757
3.754 3.754 -3.757
Ni Ru Pt
4 2 8
direct
0.005 0.625 0.880
0.375 0.255 0.380
0.745 0.125 0.120
0.875 0.995 0.620
0.250 0.750 0.500
0.500 0.500 0.000
0.118 0.369 0.580
0.119 0.368 0.080
0.288 0.039 0.920
0.462 0.882 0.251
0.631 0.211 0.749
0.632 0.712 0.751
0.789 0.538 0.420
0.961 0.881 0.249
```

Calculated values
crystal system: tetragonal
calculated volume: 211.8 Å³ per cell
DFT formation energy: 0.275 eV per atom
space group: I-42d
E_tot: -6.15 eV/atom

=====

## Ni2RuPt (PBE)

Data for crystalline Ni2RuPt at its relaxed geometry.

POSCAR file:
```
Ni2RuPt
1.0
2.673 0.000 0.000
-1.337 2.315 0.000
0.000 0.000 25.435
Ni Ru Pt
6 3 3
direct
0.000 0.000 0.000
0.000 0.000 0.256
0.333 0.667 0.667
0.333 0.667 0.923
0.667 0.333 0.333
0.667 0.333 0.590
0.000 0.000 0.746
0.333 0.667 0.413
0.667 0.333 0.080
0.000 0.000 0.504
0.333 0.667 0.171
0.667 0.333 0.838
```

Calculated values
crystal system: trigonal
calculated volume: 157.4 Å³ per cell
DFT formation energy: 0.080 eV per atom
space group: R3m
E_tot: -6.64 eV/atom

=====

Question: Which of these has the lowest DFT formation energy?
Answer: Ni5RuPt6